Below is a geometry-optimized Sc2CdSb structure, with properties calculated at the PBE level.

Properties
* excess energy over the best structure of this formula in the dataset: 0.508 eV/atom

POSCAR file:
```
Sc2CdSb
1.0
1.932 0.000 10.617
-0.966 1.673 10.617
-0.966 -1.673 10.617
Sc Sb Cd
2 1 1
Direct
0.909 0.909 0.909
0.091 0.091 0.091
0.000 0.000 0.000
0.500 0.500 0.500
```